Material: Sr2P7Br
Method: DFT, SCAN
State: PBEsol geometry

Unit cell a=9.704 b=9.704 c=9.704 alpha=90.00 beta=90.00 gamma=90.00
Element x y z (fractional)
Sr: 0.086 0.086 0.086
Sr: 0.147 0.647 0.853
Sr: 0.353 0.353 0.353
Sr: 0.414 0.914 0.586
Sr: 0.586 0.414 0.914
Sr: 0.647 0.853 0.147
Sr: 0.853 0.147 0.647
Sr: 0.914 0.586 0.414
P: 0.035 0.965 0.465
P: 0.060 0.380 0.220
P: 0.113 0.766 0.197
P: 0.120 0.780 0.560
P: 0.197 0.113 0.766
P: 0.220 0.060 0.380
P: 0.234 0.697 0.387
P: 0.266 0.303 0.887
P: 0.280 0.940 0.880
P: 0.303 0.887 0.266
P: 0.380 0.220 0.060
P: 0.387 0.234 0.697
P: 0.440 0.620 0.720
P: 0.465 0.035 0.965
P: 0.535 0.535 0.535
P: 0.560 0.120 0.780
P: 0.613 0.734 0.803
P: 0.620 0.720 0.440
P: 0.697 0.387 0.234
P: 0.720 0.440 0.620
P: 0.734 0.803 0.613
P: 0.766 0.197 0.113
P: 0.780 0.560 0.120
P: 0.803 0.613 0.734
P: 0.880 0.280 0.940
P: 0.887 0.266 0.303
P: 0.940 0.880 0.280
P: 0.965 0.465 0.035
Br: 0.098 0.402 0.598
Br: 0.402 0.598 0.098
Br: 0.598 0.098 0.402
Br: 0.902 0.902 0.902

Properties
Calculated density, g/cm3: 3.43
ΔE_f (raw), kJ/mol of atoms: -80.2
DOS(E_F), states/eV per atom: 0.000